# 1
An optimized crystal structure of Dy2HoSb2. Source: the Alexandria database, functional GGA-PBE.

a = 10.535 Å, b = 11.890 Å, c = 5.875 Å
α = 90.00°, β = 123.20°, γ = 90.00°
Space group C2/c (No. 15)
Asymmetric unit:
Dy  0.179  0.096  0.388 (multiplicity 8)
Ho  0.000  0.403  0.750 (multiplicity 4)
Sb  0.000  0.131  0.750 (multiplicity 4)
Sb  0.000  0.327  0.250 (multiplicity 4)

Computed properties:
crystal system = monoclinic
N(E_F) = 21.98 states/eV per cell
formation energy from raw total energies = -59 kJ/mol of atoms

# 2
An optimized crystal structure of CeEu2H. Source: the Alexandria database, functional GGA-PBE.

a = 3.6557 Å, b = 3.6557 Å, c = 27.8138 Å
α = 90.00°, β = 90.00°, γ = 120.00°
Space group R-3m (No. 166, hexagonal axes)
Asymmetric unit:
Ce  0.0000  0.0000  0.0000 (multiplicity 3)
Eu  0.0000  0.0000  0.2211 (multiplicity 6)
H  0.0000  0.0000  0.5000 (multiplicity 3)

Computed properties:
crystal system = trigonal
N(E_F) = 21.34 states/eV per cell
energy relative to the lowest polymorph listed for this composition = 0 meV per atom

# 3
An optimized crystal structure of Ti2Pd3Au6. Source: the Alexandria database, functional GGA-PBE.

a = 3.906 Å, b = 3.906 Å, c = 26.853 Å
α = 90.00°, β = 90.00°, γ = 90.00°
Space group I4/mmm (No. 139)
Asymmetric unit:
Ti  0.000  0.000  0.152 (multiplicity 4)
Pd  0.000  0.000  0.351 (multiplicity 4)
Pd  0.000  0.000  0.500 (multiplicity 2)
Au  0.000  0.000  0.251 (multiplicity 4)
Au  0.000  0.500  0.073 (multiplicity 8)

Computed properties:
crystal system = tetragonal
N(E_F) = 16.02 states/eV per cell
formation energy from the elements = -45 meV per atom

# 4
An optimized crystal structure of AcGd2Lu. Source: the Alexandria database, functional GGA-PBE.

a = 8.225 Å, b = 8.225 Å, c = 8.225 Å
α = 90.00°, β = 90.00°, γ = 90.00°
Space group Fm-3m (No. 225)
Asymmetric unit:
Ac  0.000  0.000  0.000 (multiplicity 4)
Gd  0.250  0.250  0.250 (multiplicity 8)
Lu  0.000  0.000  0.500 (multiplicity 4)

Computed properties:
crystal system = cubic
N(E_F) = 33.04 states/eV per cell
energy relative to the lowest polymorph listed for this composition = 79 meV per atom
formation energy from the elements = 129 meV per atom

no.,total DFT energy (no corrections) (hartree per atom),ρ (Mg/m³)
1,-0.185,7.91
2,-0.276,6.89
3,-0.172,12.95
4,-0.333,8.55